First-principles (GGA-PBE) data for a geometry-optimized ZnRe2Se structure, as listed in Alexandria.

Geometry as POSCAR:
```
ZnRe2Se
1.0
4.3331 0.0000 0.0000
0.0000 2.9443 -0.0692
0.0000 1.2742 4.8311
Re Se Zn
2 1 1
Direct
0.0000 0.0229 0.0342
0.5000 0.4457 0.2368
0.0000 0.2986 0.5088
0.5000 0.7327 0.7201
```

Computed properties:
uncorrected energy	-6.964	eV per atom
V	62.0	Å³/cell
density	13.8	Mg/m³
DOS(E_F)	2.14	states/eV per cell
magnetic moment	0.0	Bohr magnetons per cell